(1)
Sm5YErTm2 | the Alexandria database | PBE | relaxed; crystal system = orthorhombic; energy relative to the elements = 150 meV per atom; VASP energy = -0.1724 Ha/atom
1.0
2.802 -10.038 0.000
2.802 10.038 0.000
0.000 0.000 10.682
Sm Y Er Tm
10 2 2 4
Direct
0.017 0.983 0.500
0.282 0.718 0.790
0.299 0.701 0.188
0.388 0.612 0.502
0.481 0.519 0.222
0.519 0.481 0.722
0.612 0.388 0.002
0.701 0.299 0.688
0.718 0.282 0.290
0.983 0.017 0.000
0.200 0.800 0.491
0.800 0.200 0.991
0.411 0.589 0.940
0.589 0.411 0.440
0.111 0.889 0.219
0.114 0.886 0.793
0.886 0.114 0.293
0.889 0.111 0.719

---

(2)
Sm2Y3ErTm6 | the Alexandria database | PBE | relaxed; crystal system = monoclinic; energy relative to the elements = 25 meV per atom; VASP energy = -0.1835 Ha/atom
1.0
3.062 -5.299 0.000
3.062 5.299 0.000
-2.036 0.000 11.518
Sm Y Er Tm
2 3 1 6
Direct
0.167 0.833 0.000
0.833 0.167 0.000
0.000 0.000 0.500
0.334 0.666 0.500
0.666 0.334 0.500
0.500 0.500 0.000
0.083 0.416 0.750
0.251 0.251 0.250
0.416 0.083 0.750
0.584 0.917 0.250
0.749 0.749 0.750
0.917 0.584 0.250

---

Question: The lowest VASP energy belongs to which entry?
Answer: Sm2Y3ErTm6

---

Question: Number 2 is which compound?
Answer: Sm2Y3ErTm6